Entry from Alexandria via LeMat-Bulk: a relaxed structure of CaHg3 (GGA-PBE). Values from VASP.

Summary:
Space-group type: No. 187
E_tot, eV/atom: -0.9524
Energy of formation from the pure elements, meV/atom: -226

Geometry as Quantum ESPRESSO input:
```
&SYSTEM
  ibrav = 0, nat = 4, ntyp = 2
/
ATOMIC_SPECIES
Ca 40.08 Ca.upf
Hg 200.59 Hg.upf
CELL_PARAMETERS angstrom
4.0987 0.0000 0.0000
-2.0494 3.5496 0.0000
0.0000 0.0000 8.0138
ATOMIC_POSITIONS angstrom
Ca 0.0000 0.0000 0.0000
Hg 0.0000 0.0000 4.0069
Hg 2.0494 1.1832 2.0814
Hg 2.0494 1.1832 5.9325
```

Entry from Alexandria via LeMat-Bulk: a relaxed structure of InPd3Au12 (GGA-PBE). Values from VASP.

Summary:
Space-group type: No. 123
E_tot, eV/atom: -3.6779
Energy of formation from the pure elements, meV/atom: -75

Geometry as Quantum ESPRESSO input:
```
&SYSTEM
  ibrav = 0, nat = 16, ntyp = 3
/
ATOMIC_SPECIES
In 114.82 In.upf
Pd 106.42 Pd.upf
Au 196.97 Au.upf
CELL_PARAMETERS angstrom
-0.9472 -3.6349 -1.7328
-1.3640 -1.3852 3.6514
-15.1525 5.6290 -3.5250
ATOMIC_POSITIONS angstrom
In 0.0000 0.0000 0.0000
Pd -3.8441 1.4281 -0.8943
Pd -7.5762 2.8145 -1.7625
Pd -11.3083 4.2009 -2.6307
Au -1.1556 -2.5100 0.9593
Au -5.0131 -1.0770 0.0619
Au -8.7319 0.3044 -0.8032
Au -12.4506 1.6859 -1.6683
Au -2.4549 -1.0814 -1.3273
Au -6.1870 0.3050 -2.1955
Au -9.9127 1.6891 -3.0623
Au -13.6448 3.0755 -3.9304
Au -2.6633 0.0434 1.3648
Au -6.3954 1.4298 0.4966
Au -10.1212 2.8139 -0.3702
Au -13.8532 4.2003 -1.2383
```

Entry from Alexandria via LeMat-Bulk: a relaxed structure of Th4TlIr (GGA-PBE). Values from VASP.

Summary:
Space-group type: No. 63
E_tot, eV/atom: -7.0548
Energy of formation from the pure elements, meV/atom: -237

Geometry as Quantum ESPRESSO input:
```
&SYSTEM
  ibrav = 0, nat = 12, ntyp = 3
/
ATOMIC_SPECIES
Th 232.04 Th.upf
Tl 204.38 Tl.upf
Ir 192.22 Ir.upf
CELL_PARAMETERS angstrom
-0.8163 -5.2298 1.6815
2.5924 -2.1817 -5.5268
9.6511 2.5717 3.5118
ATOMIC_POSITIONS angstrom
Th 7.8581 -3.3525 2.5596
Th 3.9432 -1.8022 -3.6907
Th 10.4200 -1.8338 -0.6449
Th 1.3845 -3.3235 -0.4930
Th 4.9013 -3.8749 -0.5006
Th 5.5891 -0.1765 2.1641
Th 3.6169 -2.7960 2.2314
Th 6.9020 -1.2793 -0.6284
Tl 8.2943 -4.4394 -0.6091
Tl 3.5073 -0.7154 -0.5225
Ir 3.2590 -4.4157 -2.9798
Ir 8.5422 -0.7388 1.8489
```

Entry from Alexandria via LeMat-Bulk: a relaxed structure of LiEuZn (GGA-PBE). Values from VASP.

Summary:
Space-group type: No. 216
E_tot, eV/atom: -4.4676
Energy of formation from the pure elements, meV/atom: 20

Geometry as Quantum ESPRESSO input:
```
&SYSTEM
  ibrav = 0, nat = 3, ntyp = 3
/
ATOMIC_SPECIES
Eu 151.96 Eu.upf
Zn 65.41 Zn.upf
Li 6.94 Li.upf
CELL_PARAMETERS angstrom
4.9840 0.0000 0.0000
2.4920 4.3162 0.0000
2.4920 1.4387 4.0694
ATOMIC_POSITIONS angstrom
Eu 0.0000 0.0000 0.0000
Zn 2.4920 1.4387 1.0173
Li 4.9840 2.8775 2.0347
```

> Which of these has the lowest energy of formation from the pure elements?

Th4TlIr